A geometry-optimized Tm3CuAg structure, computed with PBE.

Cell lengths 3.6738, 9.4705, 14.9234 Å; angles 90.00, 90.00, 90.00 degrees
Closest atoms and distances in Å follow each position.
Space group Amm2 (No. 38)
One atom of each set of equivalent atoms:
Tm1 0.0000 0.0000 0.0000  2 Cu 2.71
Tm2 0.0000 0.0000 0.3239  2 Cu 2.71
Tm3 0.5000 0.1922 0.5467  2 Cu 2.78, 2 Ag 3.10
Tm4 0.5000 0.1925 0.7765  2 Cu 2.78, 2 Ag 3.10
Cu1 0.0000 0.2502 0.4116  6 Tm 2.71-2.78
Ag1 0.0000 0.0000 0.6616  8 Tm 3.10
Ag2 0.5000 0.0000 0.1619  8 Tm 3.03-3.38

Energy of formation ... -0.017 eV per atom
Crystal system ... orthorhombic

---

A geometry-optimized Ba2B2Ru structure, computed with PBE.

Cell lengths 3.1637, 3.1637, 20.4005 Å; angles 90.00, 90.00, 90.00 degrees
Closest atoms and distances in Å follow each position.
Space group I4/mmm (No. 139)
One atom of each set of equivalent atoms:
Ba1 0.0000 0.0000 0.1143  4 Ba 3.16, 4 B 3.19, 4 Ru 3.23
B1 0.0000 0.5000 0.2500  4 B 2.24
Ru1 0.0000 0.0000 0.5000  4 Ru 3.16, 8 Ba 3.23

Energy of formation ... 1.310 eV per atom
Crystal system ... tetragonal

---

A geometry-optimized Nd6C2N3Cl structure, computed with PBE.

Cell lengths 16.3829, 3.7214, 7.6367 Å; angles 90.00, 103.15, 90.00 degrees
Closest atoms and distances in Å follow each position.
Space group C2/m (No. 12)
One atom of each set of equivalent atoms:
Nd1 0.0008 0.0000 0.2834  3 N 2.49-2.69, 1 C 2.59
Nd2 0.1684 0.5000 0.5865  3 N 2.65-2.69, 3 C 2.69-2.70
Nd3 0.1775 0.5000 0.0907  3 N 2.48-2.68, 2 C 2.65
C1 0.1624 0.0000 0.3290  6 Nd 2.59-2.70
N1 0.0000 0.5000 0.5000  6 Nd 2.49-2.69
N2 0.1671 0.0000 0.8334  6 Nd 2.48-2.69
Cl1 0.0000 0.5000 0.0000  6 Nd 2.83-2.85

ΔE_f (raw) ... -0.92 eV per atom
Crystal system ... monoclinic

---

| no. | magnetic moment (μB/cell) | E_tot (eV for the cell shown) |
| --- | --- | --- |
| 1 | 0.0 | -81.787 |
| 2 | 1.2 | -39.852 |
| 3 | 0.0 | -169.819 |